No. 1
A plane-wave DFT calculation with PBE-GGA was carried out for an optimized crystal structure of SrMg3Ge.

POSCAR file:
```
SrMg3Ge
1.0
-3.136 -2.967 -3.064
0.223 -3.912 3.559
-4.259 1.979 2.442
Ge Mg Sr
1 3 1
direct
0.000 0.000 0.000
0.000 0.000 0.500
0.000 0.500 0.000
0.500 0.000 0.000
0.500 0.500 0.500
```

Results
Calculated volume ... 148.3 Å³ per cell
Calculated total energy ... -2.1049 eV/atom
N(E_F) ... 0.834 states/eV per atom
Energy above the most stable polymorph in this dataset ... 0.0 meV per atom
SG ... Pm-3m, No. 221
Size of the total moment ... 0.00 Bohr magnetons per cell

No. 2
A plane-wave DFT calculation with PBE-GGA was carried out for an optimized crystal structure of Rb5Ga3Bi12.

POSCAR file:
```
Rb5Ga3Bi12
1.0
17.441 0.000 0.000
-5.814 16.443 0.000
-5.814 -8.222 14.240
Bi Rb Ga
48 20 12
direct
0.363 0.608 0.453
0.637 0.245 0.590
0.608 0.245 0.155
0.392 0.637 0.047
0.547 0.892 0.637
0.863 0.910 0.255
0.137 0.047 0.892
0.845 0.255 0.392
0.255 0.845 0.892
0.137 0.090 0.745
0.245 0.608 0.655
0.755 0.392 0.345
0.363 0.755 0.410
0.892 0.345 0.255
0.655 0.108 0.245
0.090 0.953 0.345
0.863 0.953 0.108
0.953 0.863 0.608
0.255 0.410 0.863
0.090 0.137 0.245
0.547 0.655 0.410
0.047 0.137 0.392
0.892 0.547 0.137
0.637 0.392 0.547
0.047 0.910 0.155
0.108 0.453 0.863
0.608 0.363 0.953
0.655 0.547 0.910
0.155 0.745 0.608
0.910 0.047 0.655
0.410 0.155 0.547
0.410 0.255 0.363
0.345 0.453 0.090
0.108 0.655 0.745
0.910 0.863 0.755
0.953 0.090 0.845
0.453 0.345 0.590
0.453 0.108 0.363
0.590 0.845 0.453
0.590 0.745 0.637
0.245 0.637 0.090
0.745 0.590 0.137
0.755 0.363 0.910
0.155 0.410 0.047
0.345 0.892 0.755
0.845 0.590 0.953
0.745 0.155 0.108
0.392 0.755 0.845
0.000 0.500 0.000
0.000 0.000 0.000
0.250 0.875 0.125
0.875 0.250 0.625
0.375 0.125 0.750
0.000 0.000 0.500
0.500 0.500 0.500
0.625 0.750 0.875
0.375 0.250 0.125
0.250 0.375 0.625
0.500 0.000 0.000
0.125 0.375 0.250
0.000 0.500 0.500
0.500 0.000 0.500
0.500 0.500 0.000
0.625 0.875 0.250
0.750 0.625 0.375
0.125 0.750 0.375
0.750 0.125 0.875
0.875 0.625 0.750
0.875 0.125 0.250
0.250 0.125 0.375
0.750 0.875 0.625
0.375 0.625 0.250
0.250 0.625 0.875
0.375 0.750 0.625
0.875 0.750 0.125
0.625 0.375 0.750
0.750 0.375 0.125
0.625 0.250 0.375
0.125 0.875 0.750
0.125 0.250 0.875
```

Results
Calculated volume ... 4083.9 Å³ per cell
Calculated total energy ... -2.9674 eV/atom
N(E_F) ... 0.724 states/eV per atom
SG ... Ia-3d, No. 230
Size of the total moment ... 0.00 Bohr magnetons per cell

No. 3
A plane-wave DFT calculation with PBE-GGA was carried out for an optimized crystal structure of Sm6ErCd2.

POSCAR file:
```
Sm6ErCd2
1.0
3.746 0.000 0.595
1.648 6.245 1.711
0.040 -0.108 11.839
Sm Cd Er
6 2 1
direct
0.315 0.492 0.877
0.689 0.210 0.412
0.981 0.701 0.337
0.685 0.508 0.123
0.311 0.790 0.588
0.019 0.299 0.663
0.358 0.085 0.200
0.642 0.915 0.800
0.000 0.000 0.000
```

Results
Calculated volume ... 277.4 Å³ per cell
Calculated total energy ... -3.9858 eV/atom
N(E_F) ... 0.985 states/eV per atom
SG ... C2/m, No. 12
Size of the total moment ... 0.00 Bohr magnetons per cell

No. 4
A plane-wave DFT calculation with PBE-GGA was carried out for an optimized crystal structure of V2FeNiI.

POSCAR file:
```
V2FeNiI
1.0
4.343 0.000 0.000
0.000 4.932 0.000
0.000 0.000 4.343
Ni V I Fe
1 2 1 1
direct
0.000 0.000 0.000
0.500 0.000 0.000
0.000 0.000 0.500
0.000 0.500 0.000
0.500 0.500 0.500
```

Results
Calculated volume ... 93.0 Å³ per cell
Calculated total energy ... -5.2082 eV/atom
N(E_F) ... 1.807 states/eV per atom
SG ... P4/mmm, No. 123
Size of the total moment ... 2.46 Bohr magnetons per cell
Raw formation energy ... 1.60 eV/atom

No. 5
A plane-wave DFT calculation with PBE-GGA was carried out for an optimized crystal structure of ZrSnSb.

POSCAR file:
```
ZrSnSb
1.0
-4.694 -3.659 -1.041
0.781 -1.338 5.840
-5.735 6.703 2.303
Zr Sn Sb
4 4 4
direct
0.250 0.250 0.500
0.750 0.750 0.000
0.250 0.250 0.000
0.750 0.750 0.500
0.000 0.000 0.250
0.000 0.000 0.750
0.500 0.500 0.750
0.500 0.500 0.250
0.250 0.750 0.500
0.750 0.250 0.000
0.250 0.750 0.000
0.750 0.250 0.500
```

Results
Calculated volume ... 329.9 Å³ per cell
Calculated total energy ... -5.7168 eV/atom
N(E_F) ... 0.712 states/eV per atom
SG ... Pmmm, No. 47
Size of the total moment ... 0.00 Bohr magnetons per cell
Raw formation energy ... -0.16 eV/atom

No. 6
A plane-wave DFT calculation with PBE-GGA was carried out for an optimized crystal structure of CdCu2GeTe4.

POSCAR file:
```
CdCu2GeTe4
1.0
-3.515 2.341 4.606
-4.636 1.031 -4.061
1.865 -7.209 0.848
Te Cu Ge Cd
4 2 1 1
direct
0.402 0.402 0.277
0.875 0.875 0.277
0.598 0.125 0.723
0.125 0.598 0.723
0.250 0.750 0.500
0.750 0.250 0.500
0.500 0.500 0.000
0.000 0.000 0.000
```

Results
Calculated volume ... 236.4 Å³ per cell
Calculated total energy ... -3.4708 eV/atom
N(E_F) ... 0.005 states/eV per atom
SG ... I-42m, No. 121
Size of the total moment ... 0.00 Bohr magnetons per cell
Raw formation energy ... -0.18 eV/atom

No. 7
A plane-wave DFT calculation with PBE-GGA was carried out for an optimized crystal structure of TiMn2Tl3Se6.

POSCAR file:
```
TiMn2Tl3Se6
1.0
6.673 -0.004 0.001
-3.338 5.778 0.001
-1.110 -1.923 7.606
Ti Mn Tl Se
1 2 3 6
direct
0.000 0.000 0.000
0.667 0.333 0.000
0.333 0.667 0.000
0.834 0.166 0.500
0.166 0.834 0.500
0.500 0.500 0.500
0.391 0.062 0.185
0.938 0.609 0.815
0.062 0.391 0.185
0.268 0.268 0.814
0.732 0.732 0.186
0.609 0.938 0.815
```

Results
Calculated volume ... 293.2 Å³ per cell
Calculated total energy ... -5.0978 eV/atom
N(E_F) ... 0.372 states/eV per atom
SG ... C2/m, No. 12
Size of the total moment ... 9.10 Bohr magnetons per cell
Raw formation energy ... -0.58 eV/atom

No. 8
A plane-wave DFT calculation with PBE-GGA was carried out for an optimized crystal structure of Si2RhS.

POSCAR file:
```
Si2RhS
1.0
5.540 0.000 0.000
0.000 5.540 0.000
2.770 2.770 5.035
Rh S Si
2 2 4
direct
0.750 0.250 0.500
0.000 0.000 0.000
0.500 0.500 0.000
0.250 0.750 0.500
0.875 0.891 0.750
0.641 0.125 0.250
0.375 0.359 0.750
0.109 0.625 0.250
```

Results
Calculated volume ... 154.5 Å³ per cell
Calculated total energy ... -5.7109 eV/atom
N(E_F) ... 0.606 states/eV per atom
SG ... I-42d, No. 122
Size of the total moment ... 0.00 Bohr magnetons per cell
Raw formation energy ... -0.13 eV/atom